# YCdIn | the Alexandria database | PBE-GGA | relaxed
data_YCdIn
_chemical_formula_sum 'Y4 Cd4 In4'
_symmetry_space_group_name_H-M 'C 1 m 1'
_symmetry_Int_Tables_number 8
_cell_length_a 10.395
_cell_length_b 4.734
_cell_length_c 6.469
_cell_angle_alpha 90.00
_cell_angle_beta 105.75
_cell_angle_gamma 90.00
loop_
_symmetry_equiv_pos_as_xyz
'x,y,z'
'x,-y,z'
'x+1/2,y+1/2,z'
'x+1/2,-y+1/2,z'
loop_
_atom_site_label
_atom_site_fract_x
_atom_site_fract_y
_atom_site_fract_z
_atom_site_occupancy
Y1 0.000 0.000 0.000 1
Y2 0.184 0.500 0.390 1
Cd1 0.178 0.500 0.889 1
Cd2 0.341 0.000 0.197 1
In1 0.004 0.000 0.501 1
In2 0.336 0.000 0.704 1
# DOS(E_F)   0.79 states/eV/atom
# Density   6.854 g cm⁻³
# Calculated formation energy   -0.332 eV per atom
# Electronic total energy   -44.45 eV per cell

***

# LiSc2In | the Alexandria database | PBE-GGA | relaxed
data_LiSc2In
_chemical_formula_sum 'Li3 Sc6 In3'
_symmetry_space_group_name_H-M 'R 3 m'
_symmetry_Int_Tables_number 160
_symmetry_space_group_name_Hall 'R 3 -2"'
_cell_length_a 3.2488
_cell_length_b 3.2488
_cell_length_c 30.6771
_cell_angle_alpha 90.00
_cell_angle_beta 90.00
_cell_angle_gamma 120.00
loop_
_atom_site_label
_atom_site_fract_x
_atom_site_fract_y
_atom_site_fract_z
_atom_site_occupancy
Li1 0.0000 0.0000 0.0000 1
Sc1 0.0000 0.0000 0.2443 1
Sc2 0.0000 0.0000 0.4935 1
In1 0.0000 0.0000 0.7431 1
# DOS(E_F)   0.90 states/eV/atom
# Density   3.761 g cm⁻³
# Calculated formation energy   -0.059 eV per atom
# Electronic total energy   -52.66 eV per cell

***

# HgSb2Br | the Alexandria database | PBE-GGA | relaxed
data_HgSb2Br
_chemical_formula_sum 'Hg1 Sb2 Br1'
_symmetry_space_group_name_H-M 'P 4/m m m'
_symmetry_Int_Tables_number 123
_symmetry_space_group_name_Hall '-P 4 2'
_cell_length_a 3.727
_cell_length_b 3.727
_cell_length_c 7.932
_cell_angle_alpha 90.00
_cell_angle_beta 90.00
_cell_angle_gamma 90.00
loop_
_atom_site_label
_atom_site_fract_x
_atom_site_fract_y
_atom_site_fract_z
_atom_site_occupancy
Hg1 0.000 0.000 0.000 1
Sb1 0.500 0.500 0.208 1
Br1 0.000 0.000 0.500 1
# Relative energy among the computed polymorphs   268 meV per atom
# Formation energy from raw total energies   0.1479 eV per atom
# DOS(E_F)   0.42 states/eV/atom
# Density   7.900 g cm⁻³
# Electronic total energy   -9.63 eV per cell

***

# AlPbW2 | the Alexandria database | PBE-GGA | relaxed
data_AlPbW2
_chemical_formula_sum 'Al2 Pb2 W4'
_symmetry_space_group_name_H-M 'I -4 m 2'
_symmetry_Int_Tables_number 119
_symmetry_space_group_name_Hall 'I -4 -2'
_cell_length_a 4.143
_cell_length_b 4.143
_cell_length_c 8.245
_cell_angle_alpha 90.00
_cell_angle_beta 90.00
_cell_angle_gamma 90.00
loop_
_atom_site_label
_atom_site_fract_x
_atom_site_fract_y
_atom_site_fract_z
_atom_site_occupancy
Al1 0.000 0.000 0.000 1
Pb1 0.000 0.500 0.750 1
W1 0.000 0.000 0.500 1
W2 0.000 0.500 0.250 1
# Relative energy among the computed polymorphs   348 meV per atom
# DOS(E_F)   0.65 states/eV/atom
# Density   14.125 g cm⁻³
# Calculated formation energy   0.730 eV per atom
# Electronic total energy   -60.87 eV per cell

***

# Ho3GaSi2 | the Alexandria database | PBE-GGA | relaxed
data_Ho3GaSi2
_chemical_formula_sum 'Ho12 Ga4 Si8'
_symmetry_space_group_name_H-M 'P n m a'
_symmetry_Int_Tables_number 62
_cell_length_a 11.427
_cell_length_b 4.110
_cell_length_c 11.419
_cell_angle_alpha 90.00
_cell_angle_beta 90.00
_cell_angle_gamma 90.00
loop_
_symmetry_equiv_pos_as_xyz
'x,y,z'
'-x,-y,-z'
'-x+1/2,-y,z+1/2'
'x+1/2,y,-z+1/2'
'x+1/2,-y+1/2,-z+1/2'
'-x+1/2,y+1/2,z+1/2'
'-x,y+1/2,-z'
'x,-y+1/2,z'
loop_
_atom_site_label
_atom_site_fract_x
_atom_site_fract_y
_atom_site_fract_z
_atom_site_occupancy
Ho1 0.055 0.250 0.120 1
Ho2 0.125 0.750 0.563 1
Ho3 0.201 0.250 0.802 1
Ga1 0.135 0.250 0.366 1
Si1 0.019 0.750 0.315 1
Si2 0.187 0.750 0.999 1
# Formation energy from raw total energies   -0.6810 eV per atom
# DOS(E_F)   0.55 states/eV/atom
# Density   7.687 g cm⁻³
# Electronic total energy   -126.77 eV per cell

***

# Pu2PaGa2 | the Alexandria database | PBE-GGA | relaxed
data_Pu2PaGa2
_chemical_formula_sum 'Pu8 Pa4 Ga8'
_symmetry_space_group_name_H-M 'F m m m'
_symmetry_Int_Tables_number 69
_symmetry_space_group_name_Hall '-F 2 2'
_cell_length_a 5.382
_cell_length_b 8.747
_cell_length_c 10.065
_cell_angle_alpha 90.00
_cell_angle_beta 90.00
_cell_angle_gamma 90.00
loop_
_atom_site_label
_atom_site_fract_x
_atom_site_fract_y
_atom_site_fract_z
_atom_site_occupancy
Pu1 0.000 0.165 0.000 1
Pa1 0.000 0.000 0.500 1
Ga1 0.250 0.250 0.250 1
# Relative energy among the computed polymorphs   336 meV per atom
# DOS(E_F)   2.31 states/eV/atom
# Density   12.035 g cm⁻³
# Calculated formation energy   0.096 eV per atom
# Electronic total energy   -174.94 eV per cell